Be2TePb: relaxed, PBE.

## Properties
Raw formation energy = 162 kJ/mol of formula units
VASP energy = -0.2319 Ry/atom

Structure (extended XYZ):
```
4
Lattice="4.3307 0.0000 0.0000 0.0000 3.7108 0.0000 -0.0141 0.0000 5.5709" Properties=species:S:1:pos:R:3 pbc="T T T"
Be 0.0016 0.0000 1.0539
Be 4.3149 0.0000 4.5170
Te -0.0071 1.8554 2.7855
Pb 2.1654 1.8554 0.0000
```

BeTe2Pb: relaxed, PBE.

## Properties
Raw formation energy = 6 kJ/mol of formula units
VASP energy = -0.2509 Ry/atom

Structure (extended XYZ):
```
4
Lattice="1.7970 1.0375 9.6702 -1.7970 1.0375 9.6702 0.0000 -2.0750 9.6702" Properties=species:S:1:pos:R:3 pbc="T T T"
Be 0.0000 0.0000 0.0000
Te 0.0000 0.0000 11.2287
Te 0.0000 0.0000 17.7818
Pb 0.0000 0.0000 14.5052
```

Be2TePb: relaxed, PBE.

## Properties
Raw formation energy = 158 kJ/mol of formula units
VASP energy = -0.2326 Ry/atom

Structure (extended XYZ):
```
4
Lattice="-1.7889 1.8362 6.4959 1.7889 -1.8362 6.4959 1.7889 1.8362 -6.4959" Properties=species:S:1:pos:R:3 pbc="T T T"
Be 0.0000 0.0000 0.0000
Be 0.0000 1.8362 1.1778
Te 0.0000 0.0000 5.7690
Pb 1.7889 0.0000 2.6741
```

BeTePb: relaxed, PBE.

## Properties
Raw formation energy = 68 kJ/mol of formula units
VASP energy = -0.2418 Ry/atom

Structure (extended XYZ):
```
3
Lattice="0.0000 3.1435 6.4181 1.9743 0.0000 6.4181 1.9743 3.1435 0.0000" Properties=species:S:1:pos:R:3 pbc="T T T"
Be 0.0000 0.0000 0.0000
Te 1.9743 3.1435 7.7508
Pb 1.9743 3.1435 4.4723
```

BeTe2Pb: relaxed, PBE.

## Properties
Raw formation energy = 12 kJ/mol of formula units
VASP energy = -0.2498 Ry/atom

Structure (extended XYZ):
```
4
Lattice="4.3114 0.0000 0.0000 0.0000 3.6911 0.0000 -1.5481 0.0000 7.1499" Properties=species:S:1:pos:R:3 pbc="T T T"
Be 0.0000 0.0000 0.0000
Te -0.8147 1.8456 5.5868
Te 3.5780 1.8456 1.5631
Pb 1.3817 0.0000 3.5750
```

BeTe2Pb: relaxed, PBE.

## Properties
Raw formation energy = 178 kJ/mol of formula units
VASP energy = -0.2181 Ry/atom

Structure (extended XYZ):
```
4
Lattice="-2.1571 2.1571 5.9944 2.1571 -2.1571 5.9944 2.1571 2.1571 -5.9944" Properties=species:S:1:pos:R:3 pbc="T T T"
Be 0.0000 0.0000 0.0000
Te 0.0000 0.0000 5.9944
Te 0.0000 2.1571 2.9972
Pb 2.1571 0.0000 2.9972
```